Entry 1:
Density functional theory data (GGA-PBE) for AcDy3YHo after structural relaxation.

Cell lengths 11.8918, 11.8918, 6.9699 Å; angles 97.98, 97.98, 26.28 degrees
Element x y z (fractional)
Ac  0.1273  0.1273  0.4836
Ac  0.8727  0.8727  0.5164
Dy  0.0214  0.0214  0.7833
Dy  0.2745  0.2745  0.6904
Dy  0.3187  0.3187  0.2167
Dy  0.6813  0.6813  0.7833
Dy  0.7255  0.7255  0.3096
Dy  0.9786  0.9786  0.2167
Y  0.4248  0.4248  0.8891
Y  0.5752  0.5752  0.1109
Ho  0.1680  0.1680  0.0226
Ho  0.8320  0.8320  0.9774

Computed properties:
Density of states at the Fermi level   20.8 states/eV/cell
Total energy   -4.601 eV/atom
Symmetry   No. 12

=====

Entry 2:
Density functional theory data (GGA-PBE) for AcDy6YHo2 after structural relaxation.

Cell lengths 8.9079, 8.9079, 9.5418 Å; angles 92.66, 92.66, 117.86 degrees
Element x y z (fractional)
Ac  0.0298  0.9702  0.7500
Ac  0.9702  0.0298  0.2500
Dy  0.0159  0.5561  0.6803
Dy  0.1283  0.7503  0.0571
Dy  0.2497  0.8717  0.4429
Dy  0.2878  0.5093  0.8829
Dy  0.4439  0.9841  0.8197
Dy  0.4907  0.7122  0.6171
Dy  0.5093  0.2878  0.3829
Dy  0.5561  0.0159  0.1803
Dy  0.7122  0.4907  0.1171
Dy  0.7503  0.1283  0.5571
Dy  0.8717  0.2497  0.9429
Dy  0.9841  0.4439  0.3197
Y  0.4117  0.5883  0.2500
Y  0.5883  0.4117  0.7500
Ho  0.2022  0.3160  0.5482
Ho  0.3160  0.2022  0.0482
Ho  0.6840  0.7978  0.9518
Ho  0.7978  0.6840  0.4518

Computed properties:
Density of states at the Fermi level   30.3 states/eV/cell
Total energy   -4.606 eV/atom
Symmetry   No. 15

=====

Entry 3:
Density functional theory data (GGA-PBE) for AcDyYHo2 after structural relaxation.

Cell lengths 6.3884, 5.8056, 9.7307 Å; angles 90.00, 108.57, 90.00 degrees
Element x y z (fractional)
Ac  0.0698  0.2500  0.3031
Ac  0.9302  0.7500  0.6969
Dy  0.3407  0.7500  0.5015
Dy  0.6593  0.2500  0.4985
Y  0.1367  0.7500  0.0973
Y  0.8633  0.2500  0.9027
Ho  0.2777  0.2500  0.7081
Ho  0.4661  0.2500  0.0959
Ho  0.5339  0.7500  0.9041
Ho  0.7223  0.7500  0.2919

Computed properties:
Density of states at the Fermi level   18.1 states/eV/cell
Total energy   -4.823 eV/atom
Symmetry   No. 11

=====

Entry 4:
Density functional theory data (GGA-PBE) for AcDyY2Ho6 after structural relaxation.

Cell lengths 8.8921, 8.8921, 9.4367 Å; angles 92.12, 92.12, 116.91 degrees
Element x y z (fractional)
Ac  0.0361  0.9639  0.7500
Ac  0.9639  0.0361  0.2500
Dy  0.4121  0.5879  0.2500
Dy  0.5879  0.4121  0.7500
Y  0.2047  0.3134  0.5517
Y  0.3134  0.2047  0.0517
Y  0.6866  0.7953  0.9483
Y  0.7953  0.6866  0.4483
Ho  0.0105  0.5508  0.6797
Ho  0.1257  0.7549  0.0594
Ho  0.2451  0.8743  0.4406
Ho  0.2878  0.5180  0.8865
Ho  0.4492  0.9895  0.8203
Ho  0.4820  0.7122  0.6135
Ho  0.5180  0.2878  0.3865
Ho  0.5508  0.0105  0.1797
Ho  0.7122  0.4820  0.1135
Ho  0.7549  0.1257  0.5594
Ho  0.8743  0.2451  0.9406
Ho  0.9895  0.4492  0.3203

Computed properties:
Density of states at the Fermi level   30.4 states/eV/cell
Total energy   -4.776 eV/atom
Symmetry   No. 15

=====

Entry 5:
Density functional theory data (GGA-PBE) for AcDy3Y6Ho2 after structural relaxation.

Cell lengths 6.2190, 6.2190, 11.8930 Å; angles 94.99, 94.99, 119.97 degrees
Element x y z (fractional)
Ac  0.0000  0.0000  0.0000
Dy  0.1671  0.8329  0.5000
Dy  0.5000  0.5000  0.5000
Dy  0.8329  0.1671  0.5000
Y  0.0851  0.4214  0.2540
Y  0.2513  0.2513  0.7458
Y  0.4214  0.0851  0.2540
Y  0.5786  0.9149  0.7460
Y  0.7487  0.7487  0.2542
Y  0.9149  0.5786  0.7460
Ho  0.3334  0.6666  0.0000
Ho  0.6666  0.3334  0.0000

Computed properties:
Density of states at the Fermi level   16.7 states/eV/cell
Total energy   -5.456 eV/atom
Symmetry   No. 12

=====

Entry 6:
Density functional theory data (GGA-PBE) for AcDy2YHo after structural relaxation.

Cell lengths 6.3707, 5.8168, 9.7575 Å; angles 90.00, 108.50, 90.00 degrees
Element x y z (fractional)
Ac  0.1370  0.2500  0.1064
Ac  0.8630  0.7500  0.8936
Dy  0.2674  0.7500  0.6969
Dy  0.3387  0.2500  0.5037
Dy  0.6613  0.7500  0.4963
Dy  0.7326  0.2500  0.3031
Y  0.0698  0.7500  0.3139
Y  0.9302  0.2500  0.6861
Ho  0.4788  0.7500  0.1069
Ho  0.5212  0.2500  0.8931

Computed properties:
Density of states at the Fermi level   18.3 states/eV/cell
Total energy   -4.829 eV/atom
Symmetry   No. 11

=====

Entry 7:
Density functional theory data (GGA-PBE) for AcDy2Y2Ho2 after structural relaxation.

Cell lengths 6.2419, 6.2419, 8.1035 Å; angles 97.47, 97.47, 48.29 degrees
Element x y z (fractional)
Ac  0.0000  0.0000  0.0000
Dy  0.1422  0.1422  0.4335
Dy  0.8578  0.8578  0.5665
Y  0.2848  0.2848  0.8496
Y  0.7152  0.7152  0.1504
Ho  0.4262  0.4262  0.2930
Ho  0.5738  0.5738  0.7070

Computed properties:
Density of states at the Fermi level   10.7 states/eV/cell
Total energy   -5.010 eV/atom
Symmetry   No. 12

=====

Entry 8:
Density functional theory data (GGA-PBE) for AcDyYHo after structural relaxation.

Cell lengths 5.8291, 5.8291, 5.8291 Å; angles 60.00, 60.00, 60.00 degrees
Element x y z (fractional)
Ac  0.0000  0.0000  0.0000
Dy  0.5000  0.5000  0.5000
Y  0.7500  0.7500  0.7500
Ho  0.2500  0.2500  0.2500

Computed properties:
Density of states at the Fermi level   6.6 states/eV/cell
Excess energy over the best structure of this formula in the dataset   62 meV per atom
Symmetry   No. 216

=====

Entry 9:
Density functional theory data (GGA-PBE) for AcDyY6Ho2 after structural relaxation.

Cell lengths 8.9345, 8.9345, 9.5309 Å; angles 92.62, 92.62, 117.30 degrees
Element x y z (fractional)
Ac  0.0314  0.9686  0.7500
Ac  0.9686  0.0314  0.2500
Dy  0.4133  0.5867  0.2500
Dy  0.5867  0.4133  0.7500
Y  0.0103  0.5544  0.6812
Y  0.1266  0.7548  0.0576
Y  0.2452  0.8734  0.4424
Y  0.2884  0.5123  0.8873
Y  0.4456  0.9897  0.8188
Y  0.4877  0.7116  0.6127
Y  0.5123  0.2884  0.3873
Y  0.5544  0.0103  0.1812
Y  0.7116  0.4877  0.1127
Y  0.7548  0.1266  0.5576
Y  0.8734  0.2452  0.9424
Y  0.9897  0.4456  0.3188
Ho  0.2023  0.3140  0.5517
Ho  0.3140  0.2023  0.0517
Ho  0.6860  0.7977  0.9483
Ho  0.7977  0.6860  0.4483

Computed properties:
Density of states at the Fermi level   32.2 states/eV/cell
Total energy   -5.537 eV/atom
Symmetry   No. 15

=====

Entry 10:
Density functional theory data (GGA-PBE) for AcDyYHo after structural relaxation.

Cell lengths 11.9957, 11.9957, 11.9957 Å; angles 17.68, 17.68, 17.68 degrees
Element x y z (fractional)
Ac  0.0000  0.0000  0.0000
Dy  0.5791  0.5791  0.5791
Y  0.7540  0.7540  0.7540
Ho  0.1666  0.1666  0.1666

Computed properties:
Density of states at the Fermi level   5.7 states/eV/cell
Excess energy over the best structure of this formula in the dataset   0 meV per atom
Symmetry   No. 160

=====

Entry 11:
Density functional theory data (GGA-PBE) for AcDyY5Ho2 after structural relaxation.

Cell lengths 12.2448, 12.2448, 9.3629 Å; angles 90.00, 90.00, 153.79 degrees
Element x y z (fractional)
Ac  0.1026  0.8974  0.5000
Ac  0.8974  0.1026  0.0000
Dy  0.2604  0.7396  0.8911
Dy  0.7396  0.2604  0.3911
Y  0.0248  0.9752  0.1804
Y  0.1046  0.8954  0.8982
Y  0.1908  0.8092  0.2018
Y  0.2426  0.7574  0.5628
Y  0.4917  0.5083  0.4064
Y  0.5083  0.4917  0.9064
Y  0.7574  0.2426  0.0628
Y  0.8092  0.1908  0.7018
Y  0.8954  0.1046  0.3982
Y  0.9752  0.0248  0.6804
Ho  0.3297  0.6703  0.2511
Ho  0.3863  0.6137  0.6453
Ho  0.6137  0.3863  0.1453
Ho  0.6703  0.3297  0.7511

Computed properties:
Density of states at the Fermi level   26.1 states/eV/cell
Total energy   -5.415 eV/atom
Symmetry   No. 36

=====

Entry 12:
Density functional theory data (GGA-PBE) for AcDy5Y2Ho after structural relaxation.

Cell lengths 12.3020, 12.3020, 9.2888 Å; angles 90.00, 90.00, 154.06 degrees
Element x y z (fractional)
Ac  0.1024  0.8976  0.5000
Ac  0.8976  0.1024  0.0000
Dy  0.0233  0.9767  0.8156
Dy  0.1034  0.8966  0.0958
Dy  0.1930  0.8070  0.7968
Dy  0.2429  0.7571  0.4409
Dy  0.4916  0.5084  0.5886
Dy  0.5084  0.4916  0.0886
Dy  0.7571  0.2429  0.9409
Dy  0.8070  0.1930  0.2968
Dy  0.8966  0.1034  0.5958
Dy  0.9767  0.0233  0.3156
Y  0.3308  0.6692  0.7520
Y  0.3868  0.6132  0.3443
Y  0.6132  0.3868  0.8443
Y  0.6692  0.3308  0.2520
Ho  0.2576  0.7424  0.1115
Ho  0.7424  0.2576  0.6115

Computed properties:
Density of states at the Fermi level   24.8 states/eV/cell
Total energy   -4.807 eV/atom
Symmetry   No. 36

=====

Entry 13:
Density functional theory data (GGA-PBE) for AcDy2Y5Ho after structural relaxation.

Cell lengths 12.2409, 12.2409, 9.3689 Å; angles 90.00, 90.00, 153.75 degrees
Element x y z (fractional)
Ac  0.1026  0.8974  0.5000
Ac  0.8974  0.1026  0.0000
Dy  0.3299  0.6701  0.7505
Dy  0.3863  0.6137  0.3534
Dy  0.6137  0.3863  0.8534
Dy  0.6701  0.3299  0.2505
Y  0.0246  0.9754  0.8191
Y  0.1046  0.8954  0.1015
Y  0.1910  0.8090  0.7978
Y  0.2427  0.7573  0.4378
Y  0.4919  0.5081  0.5924
Y  0.5081  0.4919  0.0924
Y  0.7573  0.2427  0.9378
Y  0.8090  0.1910  0.2978
Y  0.8954  0.1046  0.6015
Y  0.9754  0.0246  0.3191
Ho  0.2602  0.7398  0.1090
Ho  0.7398  0.2602  0.6090

Computed properties:
Density of states at the Fermi level   25.9 states/eV/cell
Total energy   -5.419 eV/atom
Symmetry   No. 36

=====

Entry 14:
Density functional theory data (GGA-PBE) for Ac2DyI after structural relaxation.

Cell lengths 12.8579, 12.8579, 12.8579 Å; angles 17.09, 17.09, 17.09 degrees
Element x y z (fractional)
Ac  0.0941  0.0941  0.0941
Ac  0.9059  0.9059  0.9059
Dy  0.0000  0.0000  0.0000
I  0.5000  0.5000  0.5000

Computed properties:
Density of states at the Fermi level   6.7 states/eV/cell
Excess energy over the best structure of this formula in the dataset   255 meV per atom
ΔE_f (raw)   -0.1187 eV per atom
Symmetry   No. 166

=====

Entry 15:
Density functional theory data (GGA-PBE) for AcDyI after structural relaxation.

Cell lengths 5.5864, 5.5864, 3.9902 Å; angles 90.00, 90.00, 120.00 degrees
Element x y z (fractional)
Ac  0.0000  0.0000  0.0000
Dy  0.6667  0.3333  0.5000
I  0.3333  0.6667  0.5000

Computed properties:
Density of states at the Fermi level   3.4 states/eV/cell
Excess energy over the best structure of this formula in the dataset   249 meV per atom
ΔE_f (raw)   -0.2462 eV per atom
Symmetry   No. 187

=====

Entry 16:
Density functional theory data (GGA-PBE) for Ac2DyI after structural relaxation.

Cell lengths 3.9080, 3.9080, 10.1980 Å; angles 90.00, 90.00, 90.00 degrees
Element x y z (fractional)
Ac  0.0000  0.0000  0.2475
Ac  0.0000  0.0000  0.7525
Dy  0.5000  0.5000  0.5000
I  0.5000  0.5000  0.0000

Computed properties:
Density of states at the Fermi level   4.2 states/eV/cell
Excess energy over the best structure of this formula in the dataset   0 meV per atom
ΔE_f (raw)   -0.3735 eV per atom
Symmetry   No. 123

=====

Entry 17:
Density functional theory data (GGA-PBE) for AcDyI after structural relaxation.

Cell lengths 4.0121, 6.6989, 8.5496 Å; angles 78.07, 76.47, 72.58 degrees
Element x y z (fractional)
Ac  0.0817  0.1626  0.1726
Ac  0.9183  0.8374  0.8274
Dy  0.3553  0.2555  0.5346
Dy  0.6447  0.7445  0.4654
I  0.3448  0.6174  0.1909
I  0.6552  0.3826  0.8091

Computed properties:
Density of states at the Fermi level   6.5 states/eV/cell
Excess energy over the best structure of this formula in the dataset   0 meV per atom
ΔE_f (raw)   -0.4955 eV per atom
Symmetry   No. 2

=====

Entry 18:
Density functional theory data (GGA-PBE) for Ac2DyIr2I2 after structural relaxation.

Cell lengths 9.4716, 9.4716, 9.4716 Å; angles 147.97, 147.97, 45.93 degrees
Element x y z (fractional)
Ac  0.1053  0.1053  0.0000
Ac  0.8947  0.8947  0.0000
Dy  0.5000  0.5000  0.0000
Ir  0.0000  0.5000  0.5000
Ir  0.5000  0.0000  0.5000
I  0.3106  0.3106  0.0000
I  0.6894  0.6894  0.0000

Computed properties:
Density of states at the Fermi level   3.8 states/eV/cell
ΔE_f (raw)   -0.7937 eV per atom
Symmetry   No. 139

=====

Entry 19:
Density functional theory data (GGA-PBE) for AcDyIrI after structural relaxation.

Cell lengths 8.6441, 8.6441, 8.6441 Å; angles 28.47, 28.47, 28.47 degrees
Element x y z (fractional)
Ac  0.0000  0.0000  0.0000
Dy  0.2129  0.2129  0.2129
Ir  0.6007  0.6007  0.6007
I  0.7828  0.7828  0.7828

Computed properties:
Density of states at the Fermi level   0.2 states/eV/cell
ΔE_f (raw)   -0.9971 eV per atom
Symmetry   No. 160

=====

Entry 20:
Density functional theory data (GGA-PBE) for AcDyI2O8 after structural relaxation.

Cell lengths 6.2773, 6.2773, 7.1556 Å; angles 90.00, 90.00, 120.00 degrees
Element x y z (fractional)
Ac  0.0000  0.0000  0.0000
Dy  0.0000  0.0000  0.5000
I  0.3333  0.6667  0.2762
I  0.6667  0.3333  0.7238
O  0.1510  0.3019  0.2806
O  0.1510  0.8490  0.2806
O  0.3019  0.1510  0.7194
O  0.3333  0.6667  0.0238
O  0.6667  0.3333  0.9762
O  0.6981  0.8490  0.2806
O  0.8490  0.1510  0.7194
O  0.8490  0.6981  0.7194

Computed properties:
Density of states at the Fermi level   0.0 states/eV/cell
ΔE_f (raw)   -1.5896 eV per atom
Symmetry   No. 164

=====

Entry 21:
Density functional theory data (GGA-PBE) for Ac2DyIO8 after structural relaxation.

Cell lengths 5.3415, 5.3468, 7.1483 Å; angles 90.00, 89.99, 88.18 degrees
Element x y z (fractional)
Ac  0.0010  0.4991  0.2450
Ac  0.9990  0.5009  0.7550
Dy  0.5000  0.0000  0.5000
I  0.5000  0.0000  0.0000
O  0.2034  0.2951  0.5006
O  0.2454  0.2511  0.9989
O  0.3321  0.8314  0.2029
O  0.3336  0.8297  0.7973
O  0.6664  0.1703  0.2027
O  0.6679  0.1686  0.7971
O  0.7546  0.7489  0.0011
O  0.7966  0.7049  0.4994

Computed properties:
ΔE_f (raw)   -2.2374 eV per atom
Symmetry   No. 2

=====

Entry 22:
Density functional theory data (GGA-PBE) for AcDyIO6 after structural relaxation.

Cell lengths 5.6946, 5.6946, 5.2740 Å; angles 90.00, 90.00, 120.00 degrees
Element x y z (fractional)
Ac  0.0000  0.0000  0.0000
Dy  0.3333  0.6667  0.5000
I  0.6667  0.3333  0.5000
O  0.3789  0.0327  0.7152
O  0.3789  0.3461  0.2848
O  0.6539  0.0327  0.2848
O  0.6539  0.6211  0.7152
O  0.9673  0.3461  0.7152
O  0.9673  0.6211  0.2848

Computed properties:
Density of states at the Fermi level   3.6 states/eV/cell
ΔE_f (raw)   -2.0703 eV per atom
Symmetry   No. 149